DFT (PBE) results for a geometry-optimized Dy5CoAg structure.

Cell: 6.5941 6.5941 10.9553 Å, 70.08 70.08 61.32°
Sites, in units of the cell vectors:
Ag1 0.5038 0.4962 0.7500
Ag2 0.4962 0.5038 0.2500
Dy1 0.6101 0.9539 0.6373
Dy2 0.9539 0.6101 0.1373
Dy3 0.3899 0.0461 0.3627
Dy4 0.7878 0.4471 0.4728
Dy5 0.4471 0.7878 0.9728
Dy6 0.9717 0.0283 0.2500
Dy7 0.2122 0.5529 0.5272
Dy8 0.0461 0.3899 0.8627
Dy9 0.0283 0.9717 0.7500
Dy10 0.5529 0.2122 0.0272
Co1 0.0000 0.0000 0.5000
Co2 0.0000 0.0000 0.0000

Summary:
As for the energy of formation: -0.030 eV per atom. The value obtained for the total energy is -4.739 eV per atom. The calculation puts the density of states at the Fermi level at 15.30 states/eV/cell.

***

DFT (PBE) results for a geometry-optimized TcSbI2Br structure.

Cell: 5.4245 5.4245 5.2550 Å, 90.00 90.00 90.00°
Last column: magnetic moment on the atom in μB.
Sites, in units of the cell vectors:
Tc1 0.0000 0.0000 0.0000  1.09
Sb1 0.0000 0.0000 0.5000  -0.09
I1 0.0000 0.5000 0.0000  0.09
I2 0.5000 0.0000 0.0000  0.09
Br1 0.5000 0.5000 0.5000  -0.03

Summary:
The distance to the lowest polymorph of the same formula is 0 meV per atom. The value obtained for the total energy is -3.487 eV per atom. The formation energy without anion corrections comes out at 35.3 kJ/mol of atoms. The calculation puts the density of states at the Fermi level at 6.05 states/eV/cell.

***

Number 1 is which compound?
Dy5CoAg

***

Repeat the second record exactly.
DFT (PBE) results for a geometry-optimized TcSbI2Br structure.

Cell: 5.4245 5.4245 5.2550 Å, 90.00 90.00 90.00°
Last column: magnetic moment on the atom in μB.
Sites, in units of the cell vectors:
Tc1 0.0000 0.0000 0.0000  1.09
Sb1 0.0000 0.0000 0.5000  -0.09
I1 0.0000 0.5000 0.0000  0.09
I2 0.5000 0.0000 0.0000  0.09
Br1 0.5000 0.5000 0.5000  -0.03

Summary:
The distance to the lowest polymorph of the same formula is 0 meV per atom. The value obtained for the total energy is -3.487 eV per atom. The formation energy without anion corrections comes out at 35.3 kJ/mol of atoms. The calculation puts the density of states at the Fermi level at 6.05 states/eV/cell.

***

Which formula does entry 1 have?
Dy5CoAg